Density functional theory data (PBE-GGA) for FeTc2SbSe after structural relaxation.

## Properties
**M_tot**: 6.77 μB per formula unit
**Calculated total energy**: -0.4167 Ry/atom
**Fermi-level density of states**: 7.264 states/eV per cell

a = 4.985 Å, b = 4.692 Å, c = 4.985 Å
α = 90.00°, β = 90.00°, γ = 90.00°
Last column: magnetic moment on the atom in μB.
Fractional positions:
Tc: 0.500 0.000 0.000  1.77
Sb: 0.000 0.000 0.000  -0.10
Se: 0.500 0.500 0.500  0.02
Fe: 0.000 0.500 0.000  2.64
Tc: 0.000 0.000 0.500  1.95